Compound: Na2TaH
Source: Alexandria
Functional: PBE
Structure: optimized geometry

Structure (POSCAR):
```
Na2TaH
1.0
0.0000 3.6688 3.6688
3.6688 0.0000 3.6688
3.6688 3.6688 0.0000
Na Ta H
2 1 1
direct
0.2500 0.2500 0.2500
0.7500 0.7500 0.7500
0.0000 0.0000 0.0000
0.5000 0.5000 0.5000
```

For the density, the calculation gives 3832 kg/m3. The value obtained for the electronic total energy is -2.726 eV per atom.